[1]
First-principles (PBE) data for a relaxed Na3PbAu4 crystal, as listed in the Alexandria database.

Computed properties:
* energy of formation from the pure elements: -0.21 eV/atom
* uncorrected energy: -2.8050 eV/atom
* space group: C2/m (12)

a = 4.789 Å, b = 8.807 Å, c = 5.336 Å
α = 112.85°, β = 116.67°, γ = 90.00°
Element x y z (fractional)
Pb 0.519 0.500 0.000
Na 0.807 0.221 0.576
Na 0.019 0.000 0.000
Na 0.232 0.779 0.424
Au 0.870 0.609 0.703
Au 0.167 0.391 0.297
Au 0.482 0.152 0.926
Au 0.556 0.848 0.074


[2]
First-principles (PBE) data for a relaxed PuSnBi crystal, as listed in the Alexandria database.

Computed properties:
* energy of formation from the pure elements: -0.14 eV/atom
* uncorrected energy: -7.5501 eV/atom
* space group: P-6m2 (187)

a = 5.506 Å, b = 5.506 Å, c = 3.297 Å
α = 90.00°, β = 90.00°, γ = 120.00°
Element x y z (fractional)
Bi 0.333 0.667 0.500
Sn 0.667 0.333 0.500
Pu 0.000 0.000 0.000